A relaxed SrH crystal, computed with GGA-PBE.

Cell: 5.504 5.504 5.504 Å, 90.00 90.00 90.00°
Space group Fm-3m (No. 225)
One atom of each set of equivalent atoms:
Sr1 0.000 0.000 0.000 (multiplicity 4)
H1 0.000 0.000 0.500 (multiplicity 4)

The density of states at the Fermi level comes out at 1.59 states/eV/f.u. For the calculated total energy, the calculation gives -2.709 eV/atom.